Entry 1:
Crystalline ZrSI2O at its relaxed geometry. Source: the Alexandria database, functional PBE-GGA.

Cell: 5.6071 5.6071 3.6032 Å, 90.00 90.00 90.00°
Last column: nearest neighbours and their distance in Å.
Fractional coordinates of all 5 atoms:
I (0.0000, 0.5000, 0.0000)  2 S 2.80
I (0.5000, 0.0000, 0.0000)  2 S 2.80
S (0.0000, 0.0000, 0.0000)  2 O 1.80
O (0.0000, 0.0000, 0.5000)  2 S 1.80
Zr (0.5000, 0.5000, 0.5000)  8 I 3.33, 2 Zr 3.60

The uncorrected formation energy is 0.24 eV/atom. As for the uncorrected energy: -3.904 eV/atom. As for the total magnetization: 1.6 μB per cell. The calculation puts the energy above the most stable polymorph in this dataset at 0.934 eV/atom.

=====

Entry 2:
Crystalline CeDy2Sn3 at its relaxed geometry. Source: the Alexandria database, functional PBE-GGA.

Cell: 5.1565 6.2870 6.8489 Å, 117.32 112.11 90.00°
Last column: nearest neighbours and their distance in Å.
Fractional coordinates of all 6 atoms:
Ce (0.0000, 0.5000, 0.0000)  6 Sn 3.14-3.21
Dy (0.6641, 0.1641, 0.3282)  6 Sn 3.14-3.15
Dy (0.3359, 0.8359, 0.6718)  6 Sn 3.14-3.15
Sn (0.3272, 0.3272, 0.6544)  4 Dy 3.14, 2 Ce 3.21
Sn (0.0000, 0.0000, 0.0000)  2 Ce 3.14, 4 Dy 3.15
Sn (0.6728, 0.6728, 0.3456)  4 Dy 3.14, 2 Ce 3.21

As for the uncorrected energy: -5.056 eV/atom. As for the total magnetization: 0.4 μB per cell. For the energy of formation, the calculation gives -3.19 eV/f.u.

=====

Entry 3:
Crystalline Ca2AgSnTe4 at its relaxed geometry. Source: the Alexandria database, functional PBE-GGA.

Cell: 4.3688 7.8049 7.8682 Å, 110.80 90.00 90.00°
Last column: nearest neighbours and their distance in Å.
Fractional coordinates of all 8 atoms:
Ca (0.5000, 0.0000, 0.5000)  6 Te 3.13-3.26
Ca (0.0000, 0.5000, 0.5000)  6 Te 3.12-3.27
Ag (0.5000, 0.5000, 0.0000)  6 Te 2.98-3.32
Sn (0.0000, 0.0000, 0.0000)  6 Te 3.12-3.20
Te (0.5000, 0.2415, 0.2569)  2 Sn 3.12, 3 Ca 3.12-3.13, 1 Ag 3.32
Te (0.5000, 0.7585, 0.7431)  2 Sn 3.12, 3 Ca 3.12-3.13, 1 Ag 3.32
Te (0.0000, 0.2692, 0.7743)  2 Ag 2.98, 1 Sn 3.20, 3 Ca 3.26-3.27
Te (0.0000, 0.7308, 0.2257)  2 Ag 2.98, 1 Sn 3.20, 3 Ca 3.26-3.27

The uncorrected formation energy is -0.79 eV/atom. As for the uncorrected energy: -3.714 eV/atom. As for the total magnetization: 0.0 μB per cell.

=====

Entry 4:
Crystalline MnCu2I4 at its relaxed geometry. Source: the Alexandria database, functional PBE-GGA.

Cell: 6.1325 6.1325 6.0961 Å, 90.00 90.00 90.00°
Last column: nearest neighbours and their distance in Å.
Fractional coordinates of all 7 atoms:
Mn (0.0000, 0.0000, 0.0000)  4 I 2.71
Cu (0.5000, 0.0000, 0.5000)  4 I 2.64
Cu (0.0000, 0.5000, 0.5000)  4 I 2.64
I (0.7433, 0.2567, 0.7462)  2 Cu 2.64, 1 Mn 2.71
I (0.2567, 0.2567, 0.2538)  2 Cu 2.64, 1 Mn 2.71
I (0.2567, 0.7433, 0.7462)  2 Cu 2.64, 1 Mn 2.71
I (0.7433, 0.7433, 0.2538)  2 Cu 2.64, 1 Mn 2.71

The uncorrected formation energy is -0.26 eV/atom. As for the uncorrected energy: -3.628 eV/atom. As for the total magnetization: 5.0 μB per cell.